1.
Crystalline BaMgCu at its relaxed geometry. Source: the Alexandria database, functional GGA-PBE.

POSCAR file:
```
BaMgCu
1.0
-4.389 -5.056 0.137
0.189 -6.425 -1.876
2.945 5.074 3.228
Ba Cu Mg
1 1 1
Direct
0.987 0.987 0.000
0.301 0.301 0.000
0.711 0.711 0.000
```

## Properties
calculated volume = 27.7 A^3/atom
ΔH_f (0 K) = 0.06 eV/atom

---

2.
Crystalline HfAgI5 at its relaxed geometry. Source: the Alexandria database, functional GGA-PBE.

POSCAR file:
```
HfAgI5
1.0
-0.242 -4.487 -6.582
-0.016 -6.626 4.428
-9.652 5.733 1.340
Hf Ag I
2 2 10
Direct
0.000 0.000 0.000
0.000 0.500 0.500
0.626 0.876 0.250
0.374 0.124 0.750
0.236 0.819 0.154
0.186 0.812 0.518
0.335 0.419 0.654
0.072 0.322 0.250
0.294 0.168 0.982
0.706 0.832 0.018
0.928 0.678 0.750
0.665 0.581 0.346
0.814 0.188 0.482
0.764 0.181 0.846
```

## Properties
uncorrected formation energy = -0.64 eV per atom
calculated volume = 44.4 A^3/atom

---

3.
Crystalline Cd3Ag2 at its relaxed geometry. Source: the Alexandria database, functional GGA-PBE.

POSCAR file:
```
Cd3Ag2
1.0
5.741 0.000 0.000
2.870 4.972 0.000
2.870 1.657 7.490
Ag Cd
4 6
Direct
0.811 0.811 0.566
0.311 0.311 0.066
0.189 0.189 0.434
0.689 0.689 0.934
0.251 0.750 0.750
0.750 0.249 0.750
0.249 0.251 0.750
0.250 0.751 0.250
0.751 0.749 0.250
0.749 0.250 0.250
```

## Properties
calculated volume = 21.4 A^3/atom
energy relative to the lowest polymorph listed for this composition = 0.38 eV/f.u.
ΔH_f (0 K) = 0.04 eV/atom

---

4.
Crystalline Li2AsOsO6 at its relaxed geometry. Source: the Alexandria database, functional GGA-PBE.

POSCAR file:
```
Li2AsOsO6
1.0
-1.529 0.930 4.690
-3.793 -3.954 -0.453
3.610 -3.681 1.907
Li As Os O
2 1 1 6
Direct
0.872 0.500 0.000
0.872 0.000 0.500
0.598 0.000 0.000
0.616 0.500 0.500
0.737 0.270 0.270
0.737 0.270 0.730
0.272 0.500 0.500
0.267 0.000 0.000
0.737 0.730 0.730
0.737 0.730 0.270
```

## Properties
uncorrected formation energy = -1.24 eV per atom
calculated volume = 15.2 A^3/atom

---

5.
Crystalline PmPu2N4 at its relaxed geometry. Source: the Alexandria database, functional GGA-PBE.

POSCAR file:
```
PmPu2N4
1.0
6.339 0.044 -0.075
-2.071 5.992 0.075
-2.197 -2.973 5.151
Pm Pu N
2 4 8
Direct
0.000 0.000 0.000
0.750 0.500 0.250
0.875 0.147 0.522
0.478 0.353 0.625
0.375 0.853 0.728
0.272 0.647 0.125
0.154 0.878 0.394
0.606 0.760 0.484
0.026 0.622 0.766
0.234 0.260 0.856
0.596 0.740 0.974
0.724 0.240 0.846
0.516 0.122 0.276
0.144 0.378 0.404
```

## Properties
uncorrected formation energy = -1.06 eV per atom
calculated volume = 14.0 A^3/atom
energy relative to the lowest polymorph listed for this composition = 0.98 eV/f.u.

---

6.
Crystalline InGeI2N at its relaxed geometry. Source: the Alexandria database, functional GGA-PBE.

POSCAR file:
```
InGeI2N
1.0
6.435 0.000 0.000
0.000 6.435 0.000
0.000 0.000 3.534
I Ge N In
2 1 1 1
Direct
0.000 0.500 0.000
0.500 0.000 0.000
0.000 0.000 0.000
0.000 0.000 0.500
0.500 0.500 0.500
```

## Properties
uncorrected formation energy = 0.32 eV per atom
calculated volume = 29.3 A^3/atom
energy relative to the lowest polymorph listed for this composition = 0.00 eV/f.u.

---

7.
Crystalline Sn2TeS2 at its relaxed geometry. Source: the Alexandria database, functional GGA-PBE.

POSCAR file:
```
Sn2TeS2
1.0
4.279 0.000 0.000
0.000 4.279 0.000
2.140 2.140 7.075
S Te Sn
2 1 2
Direct
0.750 0.250 0.500
0.250 0.750 0.500
0.000 0.000 0.000
0.373 0.373 0.253
0.627 0.627 0.747
```

## Properties
uncorrected formation energy = -0.01 eV per atom
calculated volume = 25.9 A^3/atom

---

8.
Crystalline BaErPb2 at its relaxed geometry. Source: the Alexandria database, functional GGA-PBE.

POSCAR file:
```
BaErPb2
1.0
4.134 0.000 0.000
0.000 4.134 0.000
0.000 0.000 7.814
Pb Ba Er
2 1 1
Direct
0.000 0.000 0.795
0.000 0.000 0.205
0.500 0.500 0.500
0.500 0.500 0.000
```

## Properties
calculated volume = 33.4 A^3/atom
ΔH_f (0 K) = -0.46 eV/atom

---

9.
Crystalline KInW2 at its relaxed geometry. Source: the Alexandria database, functional GGA-PBE.

POSCAR file:
```
KInW2
1.0
2.852 0.000 0.000
0.000 4.763 0.000
0.000 0.000 7.420
In K W
1 1 2
Direct
0.500 0.500 0.250
0.500 0.500 0.750
0.000 0.000 0.092
0.000 0.000 0.408
```

## Properties
calculated volume = 25.2 A^3/atom
ΔH_f (0 K) = 1.17 eV/atom

---

10.
Crystalline CsVCl3 at its relaxed geometry. Source: the Alexandria database, functional GGA-PBE.

POSCAR file:
```
CsVCl3
1.0
-1.003 -4.044 2.919
2.820 -2.915 -3.070
4.113 1.013 2.816
Cs Cl V
1 3 1
Direct
0.500 0.500 0.500
0.000 0.500 0.000
0.000 0.000 0.500
0.500 0.000 0.000
0.000 0.000 0.000
```

## Properties
uncorrected formation energy = -1.44 eV per atom
calculated volume = 26.3 A^3/atom
energy relative to the lowest polymorph listed for this composition = 0.44 eV/f.u.

---

11.
Crystalline AlV4Zn at its relaxed geometry. Source: the Alexandria database, functional GGA-PBE.

POSCAR file:
```
AlV4Zn
1.0
-1.559 -2.687 -0.296
2.385 -1.528 1.310
-3.540 1.191 7.835
Al V Zn
1 4 1
Direct
0.000 0.000 0.000
0.500 0.500 0.182
0.500 0.500 0.818
0.000 0.000 0.680
0.000 0.000 0.320
0.500 0.500 0.500
```

## Properties
calculated volume = 14.1 A^3/atom
ΔH_f (0 K) = -0.05 eV/atom

---

12.
Crystalline Pm6DyHo3 at its relaxed geometry. Source: the Alexandria database, functional GGA-PBE.

POSCAR file:
```
Pm6DyHo3
1.0
-6.390 -0.510 -0.098
0.949 -11.494 -2.108
-0.625 5.882 10.123
Pm Dy Ho
12 2 6
Direct
0.070 0.741 0.620
0.570 0.620 0.741
0.323 0.455 0.894
0.823 0.894 0.455
0.318 0.984 0.016
0.796 0.301 0.699
0.296 0.699 0.301
0.818 0.016 0.984
0.323 0.106 0.545
0.823 0.545 0.106
0.070 0.380 0.259
0.570 0.259 0.380
0.014 0.159 0.841
0.514 0.841 0.159
0.491 0.958 0.707
0.991 0.707 0.958
0.090 0.420 0.580
0.590 0.580 0.420
0.991 0.042 0.293
0.491 0.293 0.042
```

## Properties
calculated volume = 33.4 A^3/atom
energy relative to the lowest polymorph listed for this composition = 0.00 eV/f.u.
ΔH_f (0 K) = 0.13 eV/atom